Sm2TaMoN5 after structural relaxation. Source: the Alexandria database, functional GGA-PBE.

Cell lengths 3.3324, 6.9159, 10.4397 Å; angles 90.00, 90.00, 103.94 degrees
Fractional positions:
N (0.0486, 0.0972, 0.0518)
N (0.6834, 0.3668, 0.8820)
Sm (0.1093, 0.2187, 0.6900)
N (0.9514, 0.9028, 0.5518)
N (0.6337, 0.2674, 0.5003)
Mo (0.4721, 0.9441, 0.4610)
N (0.2820, 0.5641, 0.6460)
Sm (0.1446, 0.2892, 0.2953)
N (0.3166, 0.6332, 0.3820)
Sm (0.8554, 0.7108, 0.7953)
Mo (0.5279, 0.0559, 0.9610)
Ta (0.2194, 0.4388, 0.0120)
N (0.7180, 0.4359, 0.1460)
N (0.4907, 0.9814, 0.7855)
N (0.3663, 0.7326, 0.0003)
Sm (0.8907, 0.7813, 0.1900)
N (0.5093, 0.0186, 0.2855)
Ta (0.7806, 0.5612, 0.5120)

Values from the calculation:
spin magnetization = 0.0 μB per formula unit
calculated volume = 13.0 A^3/atom
uncorrected formation energy = -1.10 eV per atom